Entry from Alexandria via LeMat-Bulk: Cd2OsPb after structural relaxation (PBE).

As for the size of the total moment: 0.000 μB/cell. The value obtained for the mass density is 11.42 g cm⁻³. The value obtained for the volume is 90 Å³/cell. For the energy of formation from the pure elements, the calculation gives 237 kJ/mol of formula units. Its space group is No. 35.

a = 3.006 Å, b = 3.006 Å, c = 11.225 Å
α = 90.00°, β = 90.00°, γ = 116.88°
Atoms (fractional coordinates):
Cd: 0.000 0.000 0.029
Cd: 0.500 0.500 0.281
Pb: 0.500 0.500 0.700
Os: 0.000 0.000 0.489

Entry from Alexandria via LeMat-Bulk: Cd4OsPb after structural relaxation (PBE).

As for the size of the total moment: 0.000 μB/cell. The value obtained for the mass density is 11.05 g cm⁻³. The value obtained for the volume is 127 Å³/cell. For the energy of formation from the pure elements, the calculation gives 359 kJ/mol of formula units. Its space group is No. 216.

a = 5.647 Å, b = 5.647 Å, c = 5.647 Å
α = 60.00°, β = 60.00°, γ = 60.00°
Atoms (fractional coordinates):
Pb: 0.000 0.000 0.000
Cd: 0.872 0.376 0.376
Cd: 0.376 0.376 0.872
Cd: 0.376 0.376 0.376
Cd: 0.376 0.872 0.376
Os: 0.750 0.750 0.750

Entry from Alexandria via LeMat-Bulk: Cd2OsPb after structural relaxation (PBE).

As for the size of the total moment: 0.001 μB/cell. The value obtained for the mass density is 12.54 g cm⁻³. The value obtained for the volume is 82 Å³/cell. For the energy of formation from the pure elements, the calculation gives 281 kJ/mol of formula units. Its space group is No. 216.

a = 4.885 Å, b = 4.885 Å, c = 4.885 Å
α = 60.00°, β = 60.00°, γ = 60.00°
Atoms (fractional coordinates):
Os: 0.500 0.500 0.500
Cd: 0.000 0.000 0.000
Cd: 0.250 0.250 0.250
Pb: 0.750 0.750 0.750

Entry from Alexandria via LeMat-Bulk: Cd2OsPb after structural relaxation (PBE).

As for the size of the total moment: 0.000 μB/cell. The value obtained for the mass density is 11.69 g cm⁻³. The value obtained for the volume is 88 Å³/cell. For the energy of formation from the pure elements, the calculation gives 206 kJ/mol of formula units. Its space group is No. 160.

a = 11.213 Å, b = 11.213 Å, c = 11.213 Å
α = 15.56°, β = 15.56°, γ = 15.56°
Atoms (fractional coordinates):
Os: 0.497 0.497 0.497
Cd: 0.006 0.006 0.006
Cd: 0.761 0.761 0.761
Pb: 0.236 0.236 0.236

Entry from Alexandria via LeMat-Bulk: Cd2OsPb after structural relaxation (PBE).

As for the size of the total moment: 0.000 μB/cell. The value obtained for the mass density is 11.77 g cm⁻³. The value obtained for the volume is 176 Å³/cell. For the energy of formation from the pure elements, the calculation gives 305 kJ/mol of formula units. Its space group is No. 122.

a = 4.079 Å, b = 4.079 Å, c = 10.938 Å
α = 79.25°, β = 79.25°, γ = 90.00°
Atoms (fractional coordinates):
Pb: 0.000 0.000 0.000
Pb: 0.750 0.250 0.500
Os: 0.500 0.500 0.000
Os: 0.250 0.750 0.500
Cd: 0.601 0.125 0.250
Cd: 0.875 0.851 0.750
Cd: 0.375 0.399 0.750
Cd: 0.149 0.625 0.250

Entry from Alexandria via LeMat-Bulk: CdOs2Pb after structural relaxation (PBE).

As for the size of the total moment: 0.000 μB/cell. The energy relative to the lowest polymorph listed for this composition is 0.1873 eV/atom. The value obtained for the mass density is 14.63 g cm⁻³. The value obtained for the volume is 79 Å³/cell. For the energy of formation from the pure elements, the calculation gives 233 kJ/mol of formula units. Its space group is No. 160.

a = 10.735 Å, b = 10.735 Å, c = 10.735 Å
α = 15.75°, β = 15.75°, γ = 15.75°
Atoms (fractional coordinates):
Pb: 0.514 0.514 0.514
Cd: 0.735 0.735 0.735
Os: 0.990 0.990 0.990
Os: 0.262 0.262 0.262

Entry from Alexandria via LeMat-Bulk: Cd2OsPb after structural relaxation (PBE).

As for the size of the total moment: 0.293 μB/cell. The value obtained for the mass density is 12.47 g cm⁻³. The value obtained for the volume is 83 Å³/cell. For the energy of formation from the pure elements, the calculation gives 225 kJ/mol of formula units. Its space group is No. 25.

a = 3.449 Å, b = 3.737 Å, c = 6.428 Å
α = 90.00°, β = 90.00°, γ = 90.00°
Last column: magnetic moment on the atom in μB.
Atoms (fractional coordinates):
Os: 0.000 0.000 0.491  0.29
Pb: 0.500 0.500 0.721  -0.01
Cd: 0.000 0.000 0.024  0.00
Cd: 0.500 0.500 0.263  0.00

Entry from Alexandria via LeMat-Bulk: CdOs3Pb after structural relaxation (PBE).

As for the size of the total moment: 4.991 μB/cell. The energy relative to the lowest polymorph listed for this composition is 0.0000 eV/atom. The value obtained for the mass density is 12.43 g cm⁻³. The value obtained for the volume is 119 Å³/cell. For the energy of formation from the pure elements, the calculation gives 1348 kJ/mol of formula units. Its space group is No. 221.

a = 4.918 Å, b = 4.918 Å, c = 4.918 Å
α = 90.00°, β = 90.00°, γ = 90.00°
Last column: magnetic moment on the atom in μB.
Atoms (fractional coordinates):
Os: 0.500 0.000 0.000  1.24
Os: 0.000 0.000 0.500  1.90
Os: 0.000 0.500 0.000  1.62
Cd: 0.000 0.000 0.000  0.00
Pb: 0.500 0.500 0.500  -0.04

Entry from Alexandria via LeMat-Bulk: Cd2OsPb after structural relaxation (PBE).

As for the size of the total moment: 0.000 μB/cell. The value obtained for the mass density is 12.56 g cm⁻³. The value obtained for the volume is 82 Å³/cell. For the energy of formation from the pure elements, the calculation gives 269 kJ/mol of formula units. Its space group is No. 65.

a = 5.161 Å, b = 5.161 Å, c = 3.370 Å
α = 90.00°, β = 90.00°, γ = 113.52°
Atoms (fractional coordinates):
Cd: 0.500 0.500 0.000
Cd: 0.000 0.000 0.000
Os: 0.500 0.000 0.500
Pb: 0.000 0.500 0.500

Entry from Alexandria via LeMat-Bulk: CdOs2Pb after structural relaxation (PBE).

As for the size of the total moment: 0.000 μB/cell. The energy relative to the lowest polymorph listed for this composition is 0.7219 eV/atom. The value obtained for the mass density is 15.77 g cm⁻³. The value obtained for the volume is 74 Å³/cell. For the energy of formation from the pure elements, the calculation gives 440 kJ/mol of formula units. Its space group is No. 65.

a = 2.995 Å, b = 2.995 Å, c = 9.290 Å
α = 90.00°, β = 90.00°, γ = 117.77°
Atoms (fractional coordinates):
Pb: 0.500 0.500 0.250
Os: 0.000 0.000 0.002
Os: 0.000 0.000 0.498
Cd: 0.500 0.500 0.750

Entry from Alexandria via LeMat-Bulk: Cd2OsPb after structural relaxation (PBE).

As for the size of the total moment: 0.000 μB/cell. The value obtained for the mass density is 12.39 g cm⁻³. The value obtained for the volume is 83 Å³/cell. For the energy of formation from the pure elements, the calculation gives 283 kJ/mol of formula units. Its space group is No. 12.

a = 5.537 Å, b = 5.538 Å, c = 3.284 Å
α = 81.28°, β = 73.14°, γ = 114.45°
Atoms (fractional coordinates):
Cd: 0.500 0.000 0.500
Cd: 0.000 0.000 0.000
Os: 0.000 0.500 0.500
Pb: 0.500 0.500 0.000

Entry from Alexandria via LeMat-Bulk: CdOs2Pb after structural relaxation (PBE).

As for the size of the total moment: 0.000 μB/cell. The energy relative to the lowest polymorph listed for this composition is 0.5545 eV/atom. The value obtained for the mass density is 15.12 g cm⁻³. The value obtained for the volume is 77 Å³/cell. For the energy of formation from the pure elements, the calculation gives 375 kJ/mol of formula units. Its space group is No. 10.

a = 4.677 Å, b = 2.976 Å, c = 5.527 Å
α = 91.44°, β = 90.00°, γ = 90.00°
Atoms (fractional coordinates):
Cd: 0.500 0.750 0.750
Pb: 0.500 0.250 0.250
Os: 0.000 0.051 0.949
Os: 0.000 0.449 0.551

Please write out number 7 again, unchanged.
Entry from Alexandria via LeMat-Bulk: Cd2OsPb after structural relaxation (PBE).

As for the size of the total moment: 0.293 μB/cell. The value obtained for the mass density is 12.47 g cm⁻³. The value obtained for the volume is 83 Å³/cell. For the energy of formation from the pure elements, the calculation gives 225 kJ/mol of formula units. Its space group is No. 25.

a = 3.449 Å, b = 3.737 Å, c = 6.428 Å
α = 90.00°, β = 90.00°, γ = 90.00°
Last column: magnetic moment on the atom in μB.
Atoms (fractional coordinates):
Os: 0.000 0.000 0.491  0.29
Pb: 0.500 0.500 0.721  -0.01
Cd: 0.000 0.000 0.024  0.00
Cd: 0.500 0.500 0.263  0.00

Question: What is the mass density in the tenth record?
Answer: 15.77 g cm⁻³